# 1
CsSrTiBr6 GGA-PBE optimized geometry; E_tot = -3.905 eV/atom; ΔE_f (raw) = -14.7 eV per formula unit
1.0
7.481 0.000 0.000
-3.740 6.478 0.000
0.000 0.000 7.917
Cs Sr Ti Br
1 1 1 6
Direct
0.000 0.000 0.000
0.333 0.667 0.500
0.667 0.333 0.500
0.391 0.045 0.695
0.391 0.346 0.305
0.654 0.045 0.305
0.654 0.609 0.695
0.955 0.346 0.695
0.955 0.609 0.305



# 2
CsSr2TiBr8 GGA-PBE optimized geometry; E_tot = -3.802 eV/atom; ΔE_f (raw) = -20.1 eV per formula unit
1.0
6.837 0.000 0.000
0.073 7.005 0.000
0.024 0.012 9.577
Cs Sr Ti Br
1 2 1 8
Direct
0.000 0.000 0.000
0.500 0.500 0.258
0.500 0.500 0.742
0.000 0.000 0.500
0.221 0.846 0.688
0.223 0.848 0.312
0.239 0.309 0.501
0.259 0.410 0.000
0.741 0.590 0.000
0.761 0.691 0.499
0.777 0.152 0.688
0.779 0.154 0.312



# 3
Cs3SrTl2Br9 GGA-PBE optimized geometry; E_tot = -2.985 eV/atom; ΔE_f (raw) = -20.7 eV per formula unit
1.0
8.396 0.000 0.000
-4.198 7.271 0.000
0.000 0.000 10.245
Cs Sr Tl Br
3 1 2 9
Direct
0.000 0.000 0.000
0.333 0.667 0.656
0.667 0.333 0.344
0.000 0.000 0.500
0.333 0.667 0.155
0.667 0.333 0.845
0.000 0.500 0.000
0.170 0.340 0.332
0.170 0.830 0.332
0.340 0.170 0.668
0.500 0.000 0.000
0.500 0.500 0.000
0.660 0.830 0.332
0.830 0.170 0.668
0.830 0.660 0.668



# 4
Cs3SrTl3Br8 GGA-PBE optimized geometry; E_tot = -3.137 eV/atom; ΔE_f (raw) = -22.3 eV per formula unit
1.0
8.435 -4.875 0.000
8.435 4.875 0.000
-5.620 0.000 8.402
Cs Sr Tl Br
3 1 3 8
Direct
0.000 0.000 0.000
0.000 0.500 0.000
0.500 0.000 0.000
0.000 0.000 0.500
0.000 0.500 0.500
0.500 0.000 0.500
0.500 0.500 0.500
0.220 0.220 0.707
0.220 0.767 0.707
0.233 0.780 0.293
0.257 0.257 0.272
0.743 0.743 0.728
0.767 0.220 0.707
0.780 0.233 0.293
0.780 0.780 0.293



# 5
CsSrTl2Br8 GGA-PBE optimized geometry; E_tot = -2.800 eV/atom; ΔE_f (raw) = -12.9 eV per formula unit
1.0
7.406 0.000 0.000
-3.703 6.414 0.000
0.000 0.000 10.709
Cs Sr Tl Br
1 1 2 8
Direct
0.000 0.000 0.000
0.000 0.000 0.500
0.333 0.667 0.752
0.667 0.333 0.248
0.026 0.691 0.320
0.309 0.336 0.320
0.333 0.667 0.002
0.336 0.026 0.680
0.664 0.974 0.320
0.667 0.333 0.998
0.691 0.664 0.680
0.974 0.309 0.680



# 6
CsSrTlBr4 GGA-PBE optimized geometry; E_tot = -3.281 eV/atom; ΔE_f (raw) = -11.4 eV per formula unit
1.0
5.977 0.000 0.000
0.000 5.977 0.000
0.000 0.000 17.667
Cs Sr Tl Br
2 2 2 8
Direct
0.000 0.000 0.000
0.500 0.500 0.500
0.000 0.000 0.363
0.500 0.500 0.863
0.000 0.000 0.714
0.500 0.500 0.214
0.000 0.000 0.195
0.000 0.000 0.539
0.000 0.500 0.364
0.000 0.500 0.864
0.500 0.000 0.364
0.500 0.000 0.864
0.500 0.500 0.039
0.500 0.500 0.695



# 7
CsSrTl2Br5 GGA-PBE optimized geometry; E_tot = -3.192 eV/atom; ΔE_f (raw) = -13.1 eV per formula unit
1.0
-2.921 4.131 8.096
2.921 -4.131 8.096
2.921 4.131 -8.096
Cs Sr Tl Br
1 1 2 5
Direct
0.000 0.000 0.000
0.500 0.500 0.000
0.287 0.787 0.500
0.713 0.213 0.500
0.112 0.364 0.748
0.384 0.636 0.748
0.500 0.000 0.500
0.616 0.364 0.252
0.888 0.636 0.252



# 8
CsSrTlBr6 GGA-PBE optimized geometry; E_tot = -2.985 eV/atom; ΔE_f (raw) = -11.9 eV per formula unit
1.0
7.683 0.000 0.000
-3.842 6.654 0.000
0.000 0.000 7.984
Cs Sr Tl Br
1 1 1 6
Direct
0.000 0.000 0.000
0.333 0.667 0.500
0.667 0.333 0.500
0.385 0.025 0.709
0.385 0.360 0.291
0.640 0.025 0.291
0.640 0.615 0.709
0.975 0.360 0.709
0.975 0.615 0.291